The following is a DFT calculation (PBE with a Hubbard U) of MoSeO6 after structural relaxation.

a = 4.7084 Å, b = 9.6304 Å, c = 4.7318 Å
α = 90.00°, β = 104.09°, γ = 90.00°
Space group C2/m (No. 12)
One atom of each set of equivalent atoms:
1 Mo 0.0000 0.0000 0.0000 (multiplicity 2)
2 Se 0.0000 0.5000 0.5000 (multiplicity 2)
3 O 0.2247 0.3716 0.7356 (multiplicity 8)
4 O 0.2445 0.0000 0.7376 (multiplicity 4)

Summary:
For the calculated total energy, the calculation gives -91.280 eV/cell.